[1]
Compound: TbY2Bi2
Source: Alexandria
Functional: PBE
Structure: relaxed

As for the total energy: -5.685 eV per atom. For the volume, the calculation gives 164.21 Å³/f.u.

It has space group P-1 (No. 2), with a = 4.3905 Å, b = 8.7200 Å, c = 9.1189 Å, α = 76.17°, β = 76.07° and γ = 90.00°. The asymmetric unit holds Tb at (0.1805, 0.3401, 0.1397), Y at (0.1806, 0.8401, 0.1391), Y at (0.4994, 0.7500, 0.5001), Bi at (0.3649, 0.4324, 0.7691) and Bi at (0.3650, 0.9332, 0.7692).

***

[2]
Compound: Tb2YBi
Source: Alexandria
Functional: PBE
Structure: relaxed

As for the total energy: -5.268 eV per atom. Its relative energy among the computed polymorphs is 36 meV/atom. For the volume, the calculation gives 121.53 Å³/f.u.

It has space group P4/mmm (No. 123), with a = 4.2363 Å, b = 4.2363 Å, c = 6.7719 Å, α = 90.00°, β = 90.00° and γ = 90.00°. The asymmetric unit holds Tb at (0.0000, 0.0000, 0.2393), Y at (0.5000, 0.5000, 0.5000) and Bi at (0.5000, 0.5000, 0.0000).